This record from Alexandria via LeMat-Bulk describes a relaxed structure of La6Co3I2. The functional is GGA-PBE.

The structure in POSCAR format:
```
La6Co3I2
1.0
3.5399 -6.1561 0.0000
3.5399 6.1561 0.0000
-2.3898 0.0000 8.3375
La Co I
6 3 2
Direct
0.0578 0.3940 0.1782
0.2707 0.2707 0.8249
0.3940 0.0578 0.1782
0.6060 0.9422 0.8218
0.7293 0.7293 0.1751
0.9422 0.6060 0.8218
0.0000 0.0000 0.0000
0.3295 0.6705 0.0000
0.6705 0.3295 0.0000
0.1656 0.8344 0.5000
0.8344 0.1656 0.5000
```

Calculated values
- VASP energy (eV per cell) = -59.4
- E_form (uncorrected) (meV per atom) = -494
- V (Å³/atom) = 33.035

This record from Alexandria via LeMat-Bulk describes a relaxed structure of AgBiBO4. The functional is GGA-PBE.

The structure in POSCAR format:
```
AgBiBO4
1.0
2.5292 -4.9789 0.0000
2.5292 4.9789 0.0000
0.0000 0.0000 6.9344
Ag Bi B O
2 2 2 8
Direct
0.0000 0.0000 0.0000
0.0000 0.0000 0.5000
0.3018 0.6982 0.7500
0.6982 0.3018 0.2500
0.3999 0.6001 0.2500
0.6001 0.3999 0.7500
0.2602 0.2663 0.7500
0.2663 0.2602 0.2500
0.3193 0.6807 0.0807
0.3193 0.6807 0.4193
0.6807 0.3193 0.5807
0.6807 0.3193 0.9193
0.7337 0.7398 0.7500
0.7398 0.7337 0.2500
```

Calculated values
- VASP energy (eV per cell) = -83.7
- E_form (uncorrected) (meV per atom) = -1228
- V (Å³/atom) = 12.474

Question: Among the records above, which one has the highest E_form (uncorrected)?
Answer: La6Co3I2

Copy entry 1 word for word.
This record from Alexandria via LeMat-Bulk describes a relaxed structure of La6Co3I2. The functional is GGA-PBE.

The structure in POSCAR format:
```
La6Co3I2
1.0
3.5399 -6.1561 0.0000
3.5399 6.1561 0.0000
-2.3898 0.0000 8.3375
La Co I
6 3 2
Direct
0.0578 0.3940 0.1782
0.2707 0.2707 0.8249
0.3940 0.0578 0.1782
0.6060 0.9422 0.8218
0.7293 0.7293 0.1751
0.9422 0.6060 0.8218
0.0000 0.0000 0.0000
0.3295 0.6705 0.0000
0.6705 0.3295 0.0000
0.1656 0.8344 0.5000
0.8344 0.1656 0.5000
```

Calculated values
- VASP energy (eV per cell) = -59.4
- E_form (uncorrected) (meV per atom) = -494
- V (Å³/atom) = 33.035

Question: Which of these has the lowest V?
Answer: AgBiBO4